Density functional theory data (PBE) for a geometry-optimized Tm5PbC structure.

Cell lengths 6.665, 6.665, 10.275 Å; angles 71.34, 71.34, 59.13 degrees
Fractional coordinates of all 14 atoms:
Tm 0.988 0.633 0.117
Tm 0.178 0.580 0.542
Tm 0.633 0.988 0.617
Tm 0.972 0.028 0.250
Tm 0.420 0.822 0.958
Tm 0.580 0.178 0.042
Tm 0.028 0.972 0.750
Tm 0.367 0.012 0.383
Tm 0.822 0.420 0.458
Tm 0.012 0.367 0.883
Pb 0.495 0.505 0.250
Pb 0.505 0.495 0.750
C 0.000 0.000 0.000
C 0.000 0.000 0.500

Output
ΔH_f (0 K) ... -18.6 kJ/mol of atoms
Mass density ... 9.699 g/cm3

Density functional theory data (PBE) for a geometry-optimized La3GaFe structure.

Cell lengths 5.217, 5.217, 5.217 Å; angles 90.00, 90.00, 90.00 degrees
Fractional coordinates of all 5 atoms:
Fe 0.000 0.000 0.000
Ga 0.500 0.500 0.500
La 0.000 0.500 0.000
La 0.000 0.000 0.500
La 0.500 0.000 0.000

Output
ΔH_f (0 K) ... -13.1 kJ/mol of atoms
Mass density ... 6.343 g/cm3

Density functional theory data (PBE) for a geometry-optimized Y2OsBr2 structure.

Cell lengths 4.181, 4.181, 7.860 Å; angles 74.57, 74.57, 90.00 degrees
Fractional coordinates of all 5 atoms:
Y 0.391 0.391 0.219
Y 0.609 0.609 0.781
Os 0.000 0.000 0.000
Br 0.750 0.250 0.500
Br 0.250 0.750 0.500

Output
Mass density ... 6.884 g/cm3
Raw formation energy ... -0.8 eV/f.u.

Density functional theory data (PBE) for a geometry-optimized LiAu structure.

Cell lengths 7.370, 7.370, 4.794 Å; angles 90.00, 90.00, 120.00 degrees
Fractional coordinates of all 12 atoms:
Li 0.776 0.078 0.250
Li 0.698 0.776 0.750
Li 0.922 0.698 0.250
Li 0.224 0.922 0.750
Li 0.302 0.224 0.250
Li 0.078 0.302 0.750
Au 0.096 0.457 0.250
Au 0.639 0.096 0.750
Au 0.543 0.639 0.250
Au 0.904 0.543 0.750
Au 0.361 0.904 0.250
Au 0.457 0.361 0.750

Output
ΔH_f (0 K) ... -33.0 kJ/mol of atoms
Mass density ... 9.010 g/cm3

Density functional theory data (PBE) for a geometry-optimized CsSrTl structure.

Cell lengths 4.310, 4.310, 8.831 Å; angles 104.13, 104.13, 90.00 degrees
Fractional coordinates of all 3 atoms:
Cs 0.976 0.976 0.951
Sr 0.713 0.713 0.426
Tl 0.311 0.311 0.623

Output
ΔH_f (0 K) ... -10.7 kJ/mol of atoms
Mass density ... 4.582 g/cm3

Density functional theory data (PBE) for a geometry-optimized Nb2Si4Tc structure.

Cell lengths 4.582, 4.582, 7.101 Å; angles 71.18, 71.18, 90.00 degrees
Fractional coordinates of all 7 atoms:
Nb 0.395 0.395 0.210
Nb 0.605 0.605 0.790
Si 0.193 0.193 0.614
Si 0.807 0.807 0.386
Si 0.000 0.500 0.000
Si 0.500 0.000 0.000
Tc 0.000 0.000 0.000

Output
Mass density ... 4.960 g/cm3
Raw formation energy ... 2.8 eV/f.u.

Density functional theory data (PBE) for a geometry-optimized Ce2Ge3Pt12Rh structure.

Cell lengths 7.742, 7.742, 7.742 Å; angles 64.47, 64.47, 64.47 degrees
Fractional coordinates of all 18 atoms:
Ce 0.616 0.616 0.616
Ce 0.384 0.384 0.384
Ge 0.500 0.000 0.000
Ge 0.000 0.500 0.000
Ge 0.000 0.000 0.500
Pt 0.369 0.369 0.890
Pt 0.859 0.859 0.382
Pt 0.382 0.859 0.859
Pt 0.890 0.369 0.369
Pt 0.859 0.382 0.859
Pt 0.369 0.890 0.369
Pt 0.631 0.631 0.110
Pt 0.141 0.141 0.618
Pt 0.618 0.141 0.141
Pt 0.110 0.631 0.631
Pt 0.141 0.618 0.141
Pt 0.631 0.110 0.631
Rh 0.000 0.000 0.000

Output
ΔH_f (0 K) ... -27.4 kJ/mol of atoms
Mass density ... 13.561 g/cm3

Density functional theory data (PBE) for a geometry-optimized K2RuBr structure.

Cell lengths 7.360, 7.360, 7.360 Å; angles 142.99, 142.99, 53.34 degrees
Fractional coordinates of all 4 atoms:
Br 0.750 0.250 0.500
K 0.000 0.000 0.000
K 0.250 0.750 0.500
Ru 0.500 0.500 0.000

Output
Mass density ... 2.998 g/cm3
Raw formation energy ... 1.8 eV/f.u.

What is the mass density in the first record?
9.699 g/cm3